Pm3DyP4 after structural relaxation. Source: Alexandria, functional PBE.

Calculated values
ρ in g/cm3: 6.14
E_form in kJ per mole of atoms: -151.7

abc: 7.102 7.102 8.209
angles: 90.00 90.00 109.50
Positions (direct):
Dy1 0.750 0.000 0.876
Pm1 0.250 0.500 0.876
Pm2 0.750 0.500 0.626
P1 0.000 0.245 0.122
Dy2 0.250 0.000 0.124
P2 0.500 0.245 0.878
Pm3 0.750 0.500 0.124
Pm4 0.750 0.000 0.374
Pm5 0.250 0.000 0.626
Pm6 0.250 0.500 0.374
P3 0.500 0.755 0.122
P4 0.000 0.755 0.878
P5 0.497 0.248 0.372
P6 0.997 0.248 0.628
P7 0.003 0.752 0.372
P8 0.503 0.752 0.628